Entry 1:
The following is a DFT calculation (PBE) of a relaxed SrFe3 crystal.

## Properties
- Total moment: 1.85 μB per atom
- Total DFT energy (no corrections): -49.71 eV/cell
- SG: P6_3/mmc

abc: 6.6985 6.6985 4.0998
angles: 90.00 90.00 120.00
With the nearest neighbours (Å) after each atom.
Fractional coordinates of all 8 atoms:
Sr (0.3333, 0.6667, 0.2500)  12 Fe 3.23-3.40
Sr (0.6667, 0.3333, 0.7500)  12 Fe 3.23-3.40
Fe (0.1179, 0.2358, 0.7500)  6 Fe 2.37-2.46
Fe (0.1179, 0.8821, 0.7500)  6 Fe 2.37-2.46
Fe (0.2358, 0.1179, 0.2500)  6 Fe 2.37-2.46
Fe (0.7642, 0.8821, 0.7500)  6 Fe 2.37-2.46
Fe (0.8821, 0.1179, 0.2500)  6 Fe 2.37-2.46
Fe (0.8821, 0.7642, 0.2500)  6 Fe 2.37-2.46

Entry 2:
The following is a DFT calculation (PBE) of a relaxed Na2P2Pt crystal.

## Properties
- Total moment: 0.00 μB per atom
- Total DFT energy (no corrections): -44.55 eV/cell
- SG: P4/mbm

abc: 6.1080 6.1080 4.7901
angles: 90.00 90.00 90.00
With the nearest neighbours (Å) after each atom.
Fractional coordinates of all 10 atoms:
Na (0.1789, 0.3211, 0.0000)  6 P 2.91-3.07, 5 Na 3.09-3.18
Na (0.3211, 0.8211, 0.0000)  6 P 2.91-3.07, 5 Na 3.09-3.18
Na (0.6789, 0.1789, 0.0000)  6 P 2.91-3.07, 5 Na 3.09-3.18
Na (0.8211, 0.6789, 0.0000)  6 P 2.91-3.07, 5 Na 3.09-3.18
P (0.1305, 0.6305, 0.5000)  1 P 2.26, 2 Pt 2.39
P (0.3695, 0.1305, 0.5000)  1 P 2.26, 2 Pt 2.39
P (0.6305, 0.8695, 0.5000)  1 P 2.26, 2 Pt 2.39
P (0.8695, 0.3695, 0.5000)  1 P 2.26, 2 Pt 2.39
Pt (0.0000, 0.0000, 0.5000)  4 P 2.39
Pt (0.5000, 0.5000, 0.5000)  4 P 2.39

Entry 3:
The following is a DFT calculation (PBE) of a relaxed Na2LuP crystal.

## Properties
- Total moment: 0.00 μB per atom
- Total DFT energy (no corrections): -28.30 eV/cell
- SG: P-1

abc: 4.0476 6.7884 7.9847
angles: 69.21 89.67 89.75
With the nearest neighbours (Å) after each atom.
Fractional coordinates of all 8 atoms:
Na (0.2477, 0.0918, 0.2842)  3 Na 2.98-3.31, 2 P 2.99-3.00, 1 Lu 3.33
Na (0.2515, 0.3154, 0.5447)  3 P 2.91-3.15, 3 Na 2.98-3.10
Na (0.7485, 0.6846, 0.4553)  3 P 2.91-3.15, 3 Na 2.98-3.10
Na (0.7523, 0.9082, 0.7158)  3 Na 2.98-3.31, 2 P 2.99-3.00, 1 Lu 3.33
Lu (0.2477, 0.6944, 0.0659)  3 P 2.69-2.76
Lu (0.7523, 0.3056, 0.9341)  3 P 2.69-2.76
P (0.2525, 0.5652, 0.7748)  3 Lu 2.69-2.76, 3 Na 2.91-3.00
P (0.7475, 0.4348, 0.2252)  3 Lu 2.69-2.76, 3 Na 2.91-3.00

Entry 4:
The following is a DFT calculation (PBE) of a relaxed USi crystal.

## Properties
- Total moment: 0.02 μB per atom
- Total DFT energy (no corrections): -16.97 eV/cell
- SG: P-6m2

abc: 2.8979 2.8979 4.9006
angles: 90.00 90.00 120.00
With the nearest neighbours (Å) after each atom.
Fractional coordinates of all 2 atoms:
U (0.0000, 0.0000, 0.0000)  6 U 2.90, 6 Si 2.97
Si (0.3333, 0.6667, 0.5000)  6 Si 2.90, 6 U 2.97

Entry 5:
The following is a DFT calculation (PBE) of a relaxed Zr2GaNi crystal.

## Properties
- Total moment: 0.00 μB per atom
- Total DFT energy (no corrections): -53.11 eV/cell
- SG: Ama2

abc: 4.4750 6.2640 6.2640
angles: 125.86 90.00 90.00
With the nearest neighbours (Å) after each atom.
Fractional coordinates of all 8 atoms:
Zr (0.2500, 0.0667, 0.9333)  3 Zr 2.69-2.94, 2 Ga 2.83-2.87, 3 Ni 2.90-2.93
Zr (0.2500, 0.5361, 0.9337)  3 Ni 2.68-2.77, 1 Zr 2.94, 3 Ga 2.94-2.97
Zr (0.7500, 0.9333, 0.0667)  3 Zr 2.69-2.94, 2 Ga 2.83-2.87, 3 Ni 2.90-2.93
Zr (0.7500, 0.9337, 0.5361)  3 Ni 2.68-2.77, 1 Zr 2.94, 3 Ga 2.94-2.97
Ga (0.2500, 0.5702, 0.4220)  3 Ni 2.73-2.87, 2 Ga 2.78, 5 Zr 2.83-2.97
Ga (0.7500, 0.4220, 0.5702)  3 Ni 2.73-2.87, 2 Ga 2.78, 5 Zr 2.83-2.97
Ni (0.2500, 0.1163, 0.4283)  6 Zr 2.68-2.93, 3 Ga 2.73-2.87
Ni (0.7500, 0.4283, 0.1163)  6 Zr 2.68-2.93, 3 Ga 2.73-2.87

Entry 6:
The following is a DFT calculation (PBE) of a relaxed ThSc crystal.

## Properties
- Total moment: 0.03 μB per atom
- Formation enthalpy at 0 K: 0.08 eV per atom
- Total DFT energy (no corrections): -13.57 eV/cell
- SG: P-6m2

abc: 3.4314 3.4314 5.5865
angles: 90.00 90.00 120.00
With the nearest neighbours (Å) after each atom.
Fractional coordinates of all 2 atoms:
Th (0.0000, 0.0000, 0.0000)  6 Sc 3.42, 6 Th 3.43
Sc (0.3333, 0.6667, 0.5000)  6 Th 3.42, 6 Sc 3.43

Entry 7:
The following is a DFT calculation (PBE) of a relaxed NaTcGe crystal.

## Properties
- Total moment: 0.26 μB per atom
- Total DFT energy (no corrections): -14.34 eV/cell
- SG: F-43m

abc: 4.3060 4.3060 4.3060
angles: 60.00 60.00 60.00
With the nearest neighbours (Å) after each atom.
Fractional coordinates of all 3 atoms:
Na (0.0000, 0.0000, 0.0000)  4 Ge 2.64
Tc (0.5000, 0.5000, 0.5000)  4 Ge 2.64
Ge (0.2500, 0.2500, 0.2500)  4 Tc 2.64, 4 Na 2.64

Entry 8:
The following is a DFT calculation (PBE) of a relaxed NbAsPbO crystal.

## Properties
- Total moment: 0.01 μB per atom
- Total DFT energy (no corrections): -51.05 eV/cell
- SG: P4/nmm

abc: 4.1781 4.1781 10.1589
angles: 90.00 90.00 90.00
With the nearest neighbours (Å) after each atom.
Fractional coordinates of all 8 atoms:
Nb (0.2500, 0.7500, 0.0000)  4 As 2.60
Nb (0.7500, 0.2500, 0.0000)  4 As 2.60
As (0.2500, 0.2500, 0.1526)  4 Nb 2.60
As (0.7500, 0.7500, 0.8474)  4 Nb 2.60
Pb (0.2500, 0.2500, 0.6117)  4 O 2.38
Pb (0.7500, 0.7500, 0.3883)  4 O 2.38
O (0.2500, 0.7500, 0.5000)  4 Pb 2.38
O (0.7500, 0.2500, 0.5000)  4 Pb 2.38